Record 1
## Cs8I3BrO2 (GGA-PBE)

Data for a geometry-optimized Cs8I3BrO2 structure. Values from VASP.

* DFT total energy: -2.951 eV per atom

Quantum ESPRESSO input file:
```
&SYSTEM
  ibrav = 0, nat = 14, ntyp = 4
/
ATOMIC_SPECIES
I 126.90 I.upf
Cs 132.91 Cs.upf
Br 79.90 Br.upf
O 16.00 O.upf
ATOMIC_POSITIONS angstrom
I 0.000 5.155 6.823
I 4.464 2.578 4.425
I 0.000 0.000 0.000
Cs 6.549 1.374 7.901
Cs -2.085 6.359 3.347
Cs 0.000 5.155 10.770
Cs 4.464 2.578 0.478
Cs 2.380 1.374 7.901
Cs 2.085 6.359 3.347
Cs 4.464 4.985 7.901
Cs 0.000 2.748 3.347
Br 0.000 0.000 5.624
O 0.000 5.155 2.077
O 4.464 2.578 9.171
CELL_PARAMETERS angstrom
8.929 0.000 0.000
-4.464 7.733 0.000
0.000 0.000 11.248
```



Record 2
## Cs2IBr6O (GGA-PBE)

Data for a geometry-optimized Cs2IBr6O structure. Values from VASP.

* DFT total energy: -2.401 eV per atom
* DOS at the Fermi energy: 0.214 states/eV per atom

Quantum ESPRESSO input file:
```
&SYSTEM
  ibrav = 0, nat = 10, ntyp = 4
/
ATOMIC_SPECIES
Br 79.90 Br.upf
I 126.90 I.upf
Cs 132.91 Cs.upf
O 16.00 O.upf
ATOMIC_POSITIONS angstrom
Br -0.274 -10.660 -3.117
Br 1.219 -6.874 -3.323
Br 2.414 -5.317 -0.651
Br -1.477 -6.065 -0.531
Br 0.480 -2.705 -1.308
Br -0.716 -4.263 -3.979
I 0.000 0.000 0.000
Cs -2.674 -7.757 -3.736
Cs 0.923 -8.968 0.088
O 0.849 -4.790 -2.315
CELL_PARAMETERS angstrom
-2.747 -3.579 -6.139
4.446 -6.000 1.509
-3.449 -7.146 0.982
```



Record 3
## Cs6I3Br2O (GGA-PBE)

Data for a geometry-optimized Cs6I3Br2O structure. Values from VASP.

* DFT total energy: -2.946 eV per atom

Quantum ESPRESSO input file:
```
&SYSTEM
  ibrav = 0, nat = 12, ntyp = 4
/
ATOMIC_SPECIES
I 126.90 I.upf
Cs 132.91 Cs.upf
O 16.00 O.upf
Br 79.90 Br.upf
ATOMIC_POSITIONS angstrom
I 1.522 2.635 4.272
I 6.019 0.038 4.272
I -2.975 5.232 4.272
Cs 4.473 2.805 6.679
Cs 2.849 -0.006 1.865
Cs 3.147 5.449 1.890
Cs -1.429 2.465 1.865
Cs 0.194 5.276 6.679
Cs -0.104 -0.179 6.654
O 0.000 0.000 0.000
Br 4.560 2.649 -0.006
Br 0.016 5.274 -0.006
CELL_PARAMETERS angstrom
9.147 0.000 -0.006
-4.571 7.923 -0.006
-1.532 -2.653 8.556
```



Record 4
## Cs5I2BrO (GGA-PBE)

Data for a geometry-optimized Cs5I2BrO structure. Values from VASP.

* DFT total energy: -2.950 eV per atom

Quantum ESPRESSO input file:
```
&SYSTEM
  ibrav = 0, nat = 9, ntyp = 4
/
ATOMIC_SPECIES
Br 79.90 Br.upf
O 16.00 O.upf
Cs 132.91 Cs.upf
I 126.90 I.upf
ATOMIC_POSITIONS angstrom
Br 0.000 4.215 0.000
O 2.922 0.000 0.000
Cs 0.000 0.000 0.000
Cs 2.922 2.043 2.075
Cs 2.922 6.388 2.075
Cs 0.000 -2.172 7.145
Cs 0.000 2.172 7.145
I 2.922 4.215 5.413
I 0.000 0.000 3.807
CELL_PARAMETERS angstrom
5.844 0.000 0.000
0.000 8.431 0.000
-2.922 -4.215 9.220
```



Number 1: formation energy from raw total energies -1.30 eV/atom, calculated volume 776.6 Å³/cell, magnetization 0.017 μB/atom. Number 2: formation energy from raw total energies -0.58 eV/atom, calculated volume 342.9 Å³/cell, magnetization 0.000 μB/atom. Number 3: formation energy from raw total energies -1.44 eV/atom, calculated volume 619.8 Å³/cell, magnetization 0.083 μB/atom. Number 4: formation energy from raw total energies -1.39 eV/atom, calculated volume 454.3 Å³/cell, magnetization 0.000 μB/atom.